No. 1
## TiSn2Pd6 (PBE-GGA)

Data for a geometry-optimized TiSn2Pd6 structure.

Computed properties:
Its space group is C2/m (12). The formation energy is -0.37 eV per atom.

Cell lengths 6.015, 5.635, 5.635 Å; angles 58.21, 79.22, 79.22 degrees
Fractional positions:
Pd: 0.718 0.657 0.172
Pd: 0.368 0.823 0.823
Pd: 0.718 0.172 0.657
Pd: 0.282 0.828 0.343
Pd: 0.632 0.177 0.177
Pd: 0.282 0.343 0.828
Sn: 0.167 0.341 0.341
Sn: 0.833 0.659 0.659
Ti: 0.000 0.000 0.000

No. 2
## Nb8V2W (PBE-GGA)

Data for a geometry-optimized Nb8V2W structure.

Computed properties:
Its space group is C2/m (12). The formation energy is 0.01 eV per atom.

Cell lengths 4.607, 5.427, 7.939 Å; angles 90.03, 106.87, 90.00 degrees
Fractional positions:
Nb: 0.594 0.451 0.188
Nb: 0.047 0.734 0.094
Nb: 0.953 0.266 0.906
Nb: 0.683 0.906 0.367
Nb: 0.317 0.094 0.633
Nb: 0.860 0.810 0.720
Nb: 0.406 0.549 0.812
Nb: 0.140 0.190 0.280
V: 0.230 0.626 0.459
V: 0.770 0.374 0.541
W: 0.500 0.000 0.000